KPb3I | PBEsol | relaxed

Calculated values
Total DFT energy (no corrections) = -2.595 eV/atom
Formation energy from raw total energies = 0.384 eV/atom

a = 6.0121 Å, b = 6.0121 Å, c = 6.0121 Å
α = 90.00°, β = 90.00°, γ = 90.00°
Closest atoms and distances in Å follow each position.
Positions (direct):
1 Pb 0.0000 0.5000 0.0000  2 I 3.01
2 Pb 0.0000 0.0000 0.5000  2 I 3.01
3 Pb 0.5000 0.0000 0.0000  2 I 3.01
4 I 0.0000 0.0000 0.0000  6 Pb 3.01
5 K 0.5000 0.5000 0.5000  12 Pb 4.25